The following is a PBE calculation of TbCe2Sm3Dy6 after structural relaxation, from Alexandria.

POSCAR file:
```
TbCe2Sm3Dy6
1.0
-4.1808 -4.5150 -0.4596
5.2618 -0.9699 3.0738
-5.3902 5.4909 8.8954
Dy Ce Tb Sm
6 2 1 3
Direct
0.0827 0.4182 0.2470
0.5818 0.9173 0.7530
0.4182 0.0827 0.2470
0.9173 0.5818 0.7530
0.7471 0.7471 0.2472
0.2529 0.2529 0.7528
0.3335 0.6665 0.0000
0.6665 0.3335 0.0000
0.0000 0.0000 0.0000
0.8339 0.1661 0.5000
0.1661 0.8339 0.5000
0.5000 0.5000 0.5000
```

## Properties
E_form ... 0.04 eV per atom

=====

The following is a PBE calculation of Ce3Sm2DyTe6 after structural relaxation, from Alexandria.

POSCAR file:
```
Ce3Sm2DyTe6
1.0
7.6740 -0.0067 -0.0014
-3.8409 6.6436 -0.0014
-1.2787 -2.2140 7.3457
Te Sm Dy Ce
6 2 1 3
Direct
0.4092 0.0806 0.2425
0.9194 0.5908 0.7575
0.2462 0.2462 0.7543
0.5908 0.9194 0.7575
0.7538 0.7538 0.2457
0.0806 0.4092 0.2425
0.3338 0.6662 0.0000
0.6662 0.3338 0.0000
0.0000 0.0000 0.0000
0.1698 0.8302 0.5000
0.5000 0.5000 0.5000
0.8302 0.1698 0.5000
```

## Properties
Raw formation energy ... -1.3680 eV per atom

=====

The following is a PBE calculation of Ce2SmDyTe5 after structural relaxation, from Alexandria.

POSCAR file:
```
Ce2SmDyTe5
1.0
5.6354 0.0000 0.0000
0.0000 5.6354 0.0000
0.0000 0.0000 11.6251
Ce Te Dy Sm
2 5 1 1
Direct
0.5000 0.5000 0.6726
0.5000 0.5000 0.3274
0.0000 0.5000 0.5000
0.0000 0.0000 0.7573
0.0000 0.0000 0.2427
0.5000 0.5000 0.0000
0.5000 0.0000 0.5000
0.0000 0.0000 0.0000
0.0000 0.0000 0.5000
```

## Properties
Raw formation energy ... -0.7595 eV per atom

=====

The following is a PBE calculation of CeSm4Dy3Te8 after structural relaxation, from Alexandria.

POSCAR file:
```
CeSm4Dy3Te8
1.0
8.8296 0.0000 0.0000
0.0000 8.8361 0.0007
-4.4148 -4.4090 6.2454
Te Dy Ce Sm
8 3 1 4
Direct
0.2561 0.2545 0.0053
0.7492 0.2545 0.0053
0.7492 0.2545 0.4984
0.2508 0.7455 0.9947
0.2508 0.7455 0.5016
0.7439 0.7455 0.9947
0.7473 0.7421 0.4947
0.2527 0.2579 0.5053
0.5000 0.5000 0.5000
0.0000 0.5000 0.5000
0.5000 0.5000 0.0000
0.0000 0.5000 0.0000
0.0000 0.0000 0.5000
0.0000 0.0000 0.0000
0.5000 0.0000 0.5000
0.5000 0.0000 0.0000
```

## Properties
Raw formation energy ... -1.3418 eV per atom

=====

The following is a PBE calculation of Ce3SmDy3Te8 after structural relaxation, from Alexandria.

POSCAR file:
```
Ce3SmDy3Te8
1.0
8.7939 -0.0006 -0.0003
-4.3975 7.6154 -0.0262
0.0002 -5.0515 7.2727
Te Ce Sm Dy
8 3 1 3
Direct
0.7441 0.4884 0.2517
0.7442 0.0075 0.2517
0.7464 0.4928 0.7392
0.2558 0.9925 0.7483
0.2536 0.5072 0.2608
0.2633 0.0076 0.2517
0.2559 0.5116 0.7483
0.7367 0.9924 0.7483
0.0000 0.0000 0.0000
0.5000 0.5000 0.0000
0.0000 0.5000 0.0000
0.0000 0.0000 0.5000
0.5000 0.5000 0.5000
0.5000 0.0000 0.5000
0.0000 0.5000 0.5000
```

## Properties
Raw formation energy ... -1.3905 eV per atom

=====

The following is a PBE calculation of Ce3SmDy2Te6 after structural relaxation, from Alexandria.

POSCAR file:
```
Ce3SmDy2Te6
1.0
-2.3588 7.1909 -1.0298
-4.6200 -5.1105 3.2973
5.0140 1.1287 5.8288
Te Sm Ce Dy
6 1 3 2
Direct
0.7410 0.7410 0.2388
0.2590 0.2590 0.7612
0.4191 0.0809 0.2422
0.5809 0.9191 0.7578
0.9191 0.5809 0.7578
0.0809 0.4191 0.2422
0.0000 0.0000 0.0000
0.1635 0.8365 0.5000
0.5000 0.5000 0.5000
0.8365 0.1635 0.5000
0.6672 0.3328 0.0000
0.3328 0.6672 0.0000
```

## Properties
Raw formation energy ... -1.3521 eV per atom

=====

The following is a PBE calculation of Ce3Sm4DyTe8 after structural relaxation, from Alexandria.

POSCAR file:
```
Ce3Sm4DyTe8
1.0
8.8852 0.0000 0.0000
0.0000 8.9152 0.0154
-4.4426 -4.4384 6.2859
Ce Sm Te Dy
3 4 8 1
Direct
0.0000 0.5000 0.5000
0.5000 0.5000 0.5000
0.5000 0.5000 0.0000
0.5000 0.0000 0.5000
0.5000 0.0000 0.0000
0.0000 0.0000 0.5000
0.0000 0.0000 0.0000
0.7512 0.7536 0.5024
0.7526 0.2504 0.9978
0.2488 0.2464 0.4976
0.2474 0.7496 0.4948
0.2474 0.7496 0.0022
0.7548 0.7496 0.0022
0.7526 0.2504 0.5052
0.2452 0.2504 0.9978
0.0000 0.5000 0.0000
```

## Properties
Raw formation energy ... -1.3689 eV per atom

=====

The following is a PBE calculation of Ce2SmDy3Te6 after structural relaxation, from Alexandria.

POSCAR file:
```
Ce2SmDy3Te6
1.0
-2.3819 0.4404 3.6452
-1.0383 -8.8422 0.3898
9.2457 1.4787 3.2354
Dy Te Sm Ce
3 6 1 2
Direct
0.5000 0.5000 0.0000
0.1663 0.8331 0.3326
0.8337 0.1669 0.6674
0.3317 0.9230 0.6633
0.9978 0.2539 0.9955
0.3361 0.4099 0.6723
0.6683 0.0770 0.3367
0.6639 0.5901 0.3277
0.0022 0.7461 0.0045
0.5000 0.0000 0.0000
0.1671 0.3348 0.3342
0.8329 0.6652 0.6658
```

## Properties
Raw formation energy ... -1.3359 eV per atom

=====

Number 1: uncorrected energy -4.811 eV/atom. Number 2: uncorrected energy -5.592 eV/atom. Number 3: uncorrected energy -4.859 eV/atom. Number 4: uncorrected energy -5.326 eV/atom. Number 5: uncorrected energy -5.488 eV/atom. Number 6: uncorrected energy -5.567 eV/atom. Number 7: uncorrected energy -5.520 eV/atom. Number 8: uncorrected energy -5.440 eV/atom.